Here is a geometry-optimized FeCuTc2 structure from Alexandria. Energies are from PBE.

Summary:
V = 54 Å³/f.u.
N(E_F) = 6.06 states/eV per cell
total energy = -8.03 eV per atom
E_form = 0.291 eV per atom
distance to the lowest polymorph of the same formula = 136 meV per atom

Unit cell a=4.2441 b=4.2441 c=4.2441 alpha=60.00 beta=60.00 gamma=60.00
With the nearest neighbours (Å) after each atom.
Sites, in units of the cell vectors:
Fe 0.0000 0.0000 0.0000  4 Tc 2.60, 4 Cu 2.60
Cu 0.2500 0.2500 0.2500  4 Fe 2.60, 4 Tc 2.60
Tc 0.5000 0.5000 0.5000  4 Tc 2.60, 4 Cu 2.60
Tc 0.7500 0.7500 0.7500  4 Fe 2.60, 4 Tc 2.60